Entry 1:
Density functional theory data (PBE) for Y2TlZn after structural relaxation.

Density of states at the Fermi level (states/eV/cell): 3.47

POSCAR file:
```
Y2TlZn
1.0
9.493 0.021 0.012
8.765 3.646 0.012
8.765 1.760 3.193
Tl Y Zn
1 2 1
Direct
0.750 0.750 0.750
0.993 0.993 0.993
0.507 0.507 0.507
0.250 0.250 0.250
```

=====

Entry 2:
Density functional theory data (PBE) for YZrTlZn after structural relaxation.

Density of states at the Fermi level (states/eV/cell): 3.16

POSCAR file:
```
YZrTlZn
1.0
-4.745 -0.964 1.481
-0.850 -3.085 3.924
-1.719 1.883 4.375
Y Tl Zn Zr
1 1 1 1
Direct
0.000 0.000 0.000
0.250 0.250 0.250
0.750 0.750 0.750
0.500 0.500 0.500
```

=====

Entry 3:
Density functional theory data (PBE) for YZr2Tl after structural relaxation.

Density of states at the Fermi level (states/eV/cell): 4.93

POSCAR file:
```
YZr2Tl
1.0
-0.871 -1.206 4.925
2.745 -1.851 0.032
3.625 4.355 1.708
Tl Y Zr
1 1 2
Direct
0.000 0.345 0.528
0.500 0.808 0.702
0.000 0.959 0.063
0.500 0.388 0.207
```

=====

Theoretical density, respectively: 6788, 8140, 7876 kg/m³.
Formation energy, respectively: -231, -179, -20 meV/atom.
E_tot, respectively: -17.49, -19.37, -26.00 eV per cell.